An optimized crystal structure of TcMoPbO6, computed with PBE with a Hubbard U.

a = 5.0122 Å, b = 5.0122 Å, c = 9.7721 Å
α = 90.00°, β = 90.00°, γ = 90.00°
Last column: nearest neighbours and their distance in Å.
Fractional coordinates of all 18 atoms:
1 Tc 0.5000 0.5000 0.8363  4 O 1.85-1.97
2 Tc 0.0000 0.0000 0.3363  4 O 1.85-1.97
3 Mo 0.5000 0.5000 0.1638  4 O 1.89-2.02
4 Mo 0.0000 0.0000 0.6638  4 O 1.89-2.02
5 Pb 0.5000 0.5000 0.5058  6 O 2.36-2.61
6 Pb 0.0000 0.0000 0.0058  6 O 2.36-2.61
7 O 0.1678 0.8322 0.4971  1 Tc 1.97, 1 Mo 2.02
8 O 0.8322 0.1678 0.4971  1 Tc 1.97, 1 Mo 2.02
9 O 0.3322 0.3322 0.9971  1 Tc 1.97, 1 Mo 2.02
10 O 0.6678 0.6678 0.9971  1 Tc 1.97, 1 Mo 2.02
11 O 0.2363 0.7637 0.1951  1 Mo 1.89
12 O 0.7637 0.2363 0.1951  1 Mo 1.89
13 O 0.2637 0.2637 0.6951  1 Mo 1.89
14 O 0.7363 0.7363 0.6951  1 Mo 1.89
15 O 0.7573 0.2427 0.8048  1 Tc 1.85
16 O 0.2427 0.7573 0.8048  1 Tc 1.85
17 O 0.7427 0.7427 0.3048  1 Tc 1.85
18 O 0.2573 0.2573 0.3048  1 Tc 1.85

Values from the calculation:
Energy ... -6.99 eV/atom
Crystal system ... tetragonal
D(E_F) ... 0.312 states/eV per atom
Space group ... P4_2nm